! MnTcP2O (meta-GGA SCAN, single point on PBEsol structure); values from VASP
! - E_tot: -79.750 eV/cell
&SYSTEM
  ibrav = 0, nat = 5, ntyp = 4
/
ATOMIC_SPECIES
Mn 54.94 Mn.upf
Tc 98.00 Tc.upf
P 30.97 P.upf
O 16.00 O.upf
ATOMIC_POSITIONS crystal
Mn 0.000 0.000 0.000
Tc 0.500 0.500 0.500
P 0.000 0.500 0.000
P 0.500 0.000 0.000
O 0.000 0.000 0.500
CELL_PARAMETERS angstrom
4.507 0.000 0.000
0.000 4.507 0.000
0.000 0.000 3.301